18
Lattice="7.4382 0.0000 0.0000 -3.7191 6.4417 0.0000 0.0000 0.0000 14.3953" Properties=species:S:1:pos:R:3 comment="PBE CaHoTlBr6, relaxed" magnetic_moment_mub_per_fu=0.00 formation_energy_uncorrected_ev_per_atom=-1.722 pbc="T T T"
Ca 0.0000 4.2944 3.5988
Ca 3.7191 2.1472 10.7965
Ho 0.0000 4.2944 10.7965
Ho 3.7191 2.1472 3.5988
Tl 0.0000 0.0000 0.0000
Tl 0.0000 0.0000 7.1977
Br -1.3113 2.4192 9.1751
Br -2.2796 4.0964 12.4179
Br 1.3113 2.4192 12.4179
Br -0.9684 6.3676 9.1751
Br 2.7507 0.0740 1.9774
Br 1.4395 2.3452 5.2202
Br 2.2796 4.0964 9.1751
Br 0.9684 6.3676 12.4179
Br 4.6874 0.0740 5.2202
Br 2.4078 4.0224 1.9774
Br 5.9987 2.3452 1.9774
Br 5.0304 4.0224 5.2202